Entry from the Alexandria database: an optimized crystal structure of Tb3Y4Tm8 (PBE).

Computed properties:
Energy relative to the lowest polymorph listed for this composition = 268 meV per atom
E_form = 9.31 kcal/mol of atoms
Calculated volume = 32.56 A^3/atom
M_tot = 0.000 μB per formula unit
E_tot = -4.63 eV/atom
SG = C2/m (12)

Structure (POSCAR):
```
Tb3Y4Tm8
1.0
6.627 -6.386 0.000
6.627 6.386 0.000
-3.360 0.000 5.770
Tb Y Tm
3 4 8
direct
0.000 0.000 0.000 Tb
0.000 0.500 0.000 Tb
0.500 0.000 0.000 Tb
0.000 0.500 0.500 Y
0.500 0.000 0.500 Y
0.500 0.500 0.000 Y
0.500 0.500 0.500 Y
0.138 0.862 0.500 Tm
0.231 0.231 0.491 Tm
0.231 0.231 0.969 Tm
0.246 0.754 0.000 Tm
0.754 0.246 0.000 Tm
0.769 0.769 0.031 Tm
0.769 0.769 0.509 Tm
0.862 0.138 0.500 Tm
```

=====

Entry from the Alexandria database: an optimized crystal structure of Sm5Dy2Mg5 (PBE).

Computed properties:
Energy relative to the lowest polymorph listed for this composition = 119 meV per atom
E_form = 1.88 kcal/mol of atoms
Calculated volume = 30.26 A^3/atom
M_tot = 0.000 μB per formula unit
E_tot = -3.32 eV/atom
SG = C2/m (12)

Structure (POSCAR):
```
Sm5Dy2Mg5
1.0
7.816 -1.753 0.000
7.816 1.753 0.000
-4.653 0.000 13.253
Sm Dy Mg
5 2 5
direct
0.000 0.000 0.000 Sm
0.352 0.352 0.558 Sm
0.434 0.434 0.194 Sm
0.566 0.566 0.806 Sm
0.648 0.648 0.442 Sm
0.188 0.188 0.675 Dy
0.812 0.812 0.325 Dy
0.000 0.000 0.500 Mg
0.130 0.130 0.230 Mg
0.287 0.287 0.926 Mg
0.713 0.713 0.074 Mg
0.870 0.870 0.770 Mg
```

=====

Entry from the Alexandria database: an optimized crystal structure of KLiTl2In (PBE).

Computed properties:
Energy relative to the lowest polymorph listed for this composition = 0 meV per atom
E_form = -2.50 kcal/mol of atoms
Calculated volume = 29.97 A^3/atom
M_tot = 0.000 μB per formula unit
E_tot = -2.20 eV/atom
SG = Pmma (51)

Structure (POSCAR):
```
KLiTl2In
1.0
5.903 0.000 0.000
0.000 7.143 0.000
0.000 0.000 7.109
K Li Tl In
2 2 4 2
direct
0.250 0.000 0.191 K
0.750 0.000 0.809 K
0.000 0.500 0.000 Li
0.500 0.500 0.000 Li
0.250 0.253 0.701 Tl
0.250 0.747 0.701 Tl
0.750 0.253 0.299 Tl
0.750 0.747 0.299 Tl
0.250 0.500 0.350 In
0.750 0.500 0.650 In
```

=====

Entry from the Alexandria database: an optimized crystal structure of Cs12Rb3Pd5 (PBE).

Computed properties:
E_form = 3.75 kcal/mol of atoms
Calculated volume = 77.01 A^3/atom
M_tot = 0.000 μB per formula unit
E_tot = -1.79 eV/atom
SG = Ia-3d (230)

Structure (POSCAR):
```
Cs12Rb3Pd5
1.0
-11.549 11.549 11.549
11.549 -11.549 11.549
11.549 11.549 -11.549
Cs Rb Pd
48 12 20
direct
0.004 0.686 0.097 Cs
0.004 0.817 0.907 Cs
0.090 0.683 0.686 Cs
0.090 0.907 0.403 Cs
0.093 0.597 0.910 Cs
0.093 0.996 0.183 Cs
0.097 0.004 0.686 Cs
0.097 0.593 0.410 Cs
0.183 0.093 0.996 Cs
0.183 0.590 0.186 Cs
0.186 0.183 0.590 Cs
0.186 0.504 0.597 Cs
0.314 0.903 0.996 Cs
0.314 0.910 0.317 Cs
0.317 0.314 0.910 Cs
0.317 0.504 0.407 Cs
0.403 0.090 0.907 Cs
0.403 0.814 0.496 Cs
0.407 0.317 0.504 Cs
0.407 0.590 0.903 Cs
0.410 0.097 0.593 Cs
0.410 0.814 0.817 Cs
0.496 0.403 0.814 Cs
0.496 0.593 0.683 Cs
0.504 0.407 0.317 Cs
0.504 0.597 0.186 Cs
0.590 0.186 0.183 Cs
0.590 0.903 0.407 Cs
0.593 0.410 0.097 Cs
0.593 0.683 0.496 Cs
0.597 0.186 0.504 Cs
0.597 0.910 0.093 Cs
0.683 0.496 0.593 Cs
0.683 0.686 0.090 Cs
0.686 0.090 0.683 Cs
0.686 0.097 0.004 Cs
0.814 0.496 0.403 Cs
0.814 0.817 0.410 Cs
0.817 0.410 0.814 Cs
0.817 0.907 0.004 Cs
0.903 0.407 0.590 Cs
0.903 0.996 0.314 Cs
0.907 0.004 0.817 Cs
0.907 0.403 0.090 Cs
0.910 0.093 0.597 Cs
0.910 0.317 0.314 Cs
0.996 0.183 0.093 Cs
0.996 0.314 0.903 Cs
0.125 0.250 0.375 Rb
0.125 0.375 0.750 Rb
0.250 0.375 0.125 Rb
0.250 0.875 0.625 Rb
0.375 0.125 0.250 Rb
0.375 0.750 0.125 Rb
0.625 0.250 0.875 Rb
0.625 0.875 0.750 Rb
0.750 0.125 0.375 Rb
0.750 0.625 0.875 Rb
0.875 0.625 0.250 Rb
0.875 0.750 0.625 Rb
0.000 0.000 0.000 Pd
0.000 0.000 0.500 Pd
0.000 0.500 0.000 Pd
0.000 0.500 0.500 Pd
0.125 0.750 0.875 Pd
0.125 0.875 0.250 Pd
0.250 0.125 0.875 Pd
0.250 0.625 0.375 Pd
0.375 0.250 0.625 Pd
0.375 0.625 0.750 Pd
0.500 0.000 0.000 Pd
0.500 0.000 0.500 Pd
0.500 0.500 0.000 Pd
0.500 0.500 0.500 Pd
0.625 0.375 0.250 Pd
0.625 0.750 0.375 Pd
0.750 0.375 0.625 Pd
0.750 0.875 0.125 Pd
0.875 0.125 0.750 Pd
0.875 0.250 0.125 Pd
```

=====

Entry from the Alexandria database: an optimized crystal structure of RhW4 (PBE).

Computed properties:
Energy relative to the lowest polymorph listed for this composition = 0 meV per atom
E_form = 3.22 kcal/mol of atoms
Calculated volume = 15.92 A^3/atom
M_tot = 0.000 μB per formula unit
E_tot = -11.69 eV/atom
SG = I4/m (87)

Structure (POSCAR):
```
RhW4
1.0
-3.515 3.515 1.611
3.515 -3.515 1.611
3.515 3.515 -1.611
Rh W
1 4
direct
0.000 0.000 0.000 Rh
0.194 0.606 0.800 W
0.394 0.194 0.589 W
0.606 0.806 0.411 W
0.806 0.394 0.200 W
```

=====

Entry from the Alexandria database: an optimized crystal structure of Sm3Ag2 (PBE).

Computed properties:
Energy relative to the lowest polymorph listed for this composition = 0 meV per atom
E_form = -4.97 kcal/mol of atoms
Calculated volume = 27.24 A^3/atom
M_tot = 0.000 μB per formula unit
E_tot = -4.19 eV/atom
SG = P4/mmm (123)

Structure (POSCAR):
```
Sm3Ag2
1.0
3.685 0.000 0.000
0.000 3.685 0.000
0.000 0.000 20.053
Sm Ag
6 4
direct
0.000 0.000 0.000 Sm
0.000 0.000 0.188 Sm
0.000 0.000 0.374 Sm
0.000 0.000 0.626 Sm
0.000 0.000 0.812 Sm
0.500 0.500 0.500 Sm
0.500 0.500 0.094 Ag
0.500 0.500 0.281 Ag
0.500 0.500 0.719 Ag
0.500 0.500 0.906 Ag
```

=====

Entry from the Alexandria database: an optimized crystal structure of CoN2Cl (PBE).

Computed properties:
Energy relative to the lowest polymorph listed for this composition = 0 meV per atom
Energy relative to the elements, uncorrected = 0.839 eV per atom
Calculated volume = 10.83 A^3/atom
M_tot = 0.000 μB per formula unit
E_tot = -5.56 eV/atom
SG = R-3m (166)

Structure (POSCAR):
```
CoN2Cl
1.0
1.488 0.859 5.646
-1.488 0.859 5.646
0.000 -1.719 5.646
Co N Cl
1 2 1
direct
0.000 0.000 0.000 Co
0.387 0.387 0.387 N
0.613 0.613 0.613 N
0.500 0.500 0.500 Cl
```

=====

Entry from the Alexandria database: an optimized crystal structure of MgIn6Pb5 (PBE).

Computed properties:
E_form = 0.34 kcal/mol of atoms
Calculated volume = 28.65 A^3/atom
M_tot = 0.000 μB per formula unit
E_tot = -3.03 eV/atom
SG = C2/m (12)

Structure (POSCAR):
```
MgIn6Pb5
1.0
5.433 -7.215 0.000
5.433 7.215 0.000
-2.124 0.000 4.385
Mg In Pb
1 6 5
direct
0.000 0.000 0.000 Mg
0.082 0.410 0.245 In
0.249 0.249 0.754 In
0.410 0.082 0.245 In
0.590 0.918 0.755 In
0.751 0.751 0.246 In
0.918 0.590 0.755 In
0.158 0.842 0.500 Pb
0.330 0.670 0.000 Pb
0.500 0.500 0.500 Pb
0.670 0.330 0.000 Pb
0.842 0.158 0.500 Pb
```

=====

Entry from the Alexandria database: an optimized crystal structure of ErSiPb (PBE).

Computed properties:
Energy relative to the elements, uncorrected = -0.475 eV per atom
Calculated volume = 24.49 A^3/atom
M_tot = 0.000 μB per formula unit
E_tot = -5.04 eV/atom
SG = Cmcm (63)

Structure (POSCAR):
```
ErSiPb
1.0
2.050 -9.527 0.000
2.050 9.527 0.000
0.000 0.000 3.761
Er Si Pb
2 2 2
direct
0.083 0.917 0.750 Er
0.917 0.083 0.250 Er
0.462 0.538 0.750 Si
0.538 0.462 0.250 Si
0.307 0.693 0.750 Pb
0.693 0.307 0.250 Pb
```

=====

Entry from the Alexandria database: an optimized crystal structure of Np2Si4GePt3 (PBE).

Computed properties:
Energy relative to the elements, uncorrected = -0.589 eV per atom
Calculated volume = 17.78 A^3/atom
M_tot = 7.817 μB per formula unit
E_tot = -7.62 eV/atom
SG = P-4m2 (115)

Structure (POSCAR):
```
Np2Si4GePt3
1.0
4.279 0.000 0.000
0.000 4.279 0.000
0.000 0.000 9.709
Np Si Ge Pt
2 4 1 3
direct
0.000 0.500 0.249 Np
0.500 0.000 0.751 Np
0.000 0.000 0.500 Si
0.000 0.500 0.862 Si
0.500 0.000 0.138 Si
0.500 0.500 0.500 Si
0.500 0.500 0.000 Ge
0.000 0.000 0.000 Pt
0.000 0.500 0.619 Pt
0.500 0.000 0.381 Pt
```

=====

Entry from the Alexandria database: an optimized crystal structure of YTmSc2 (PBE).

Computed properties:
Energy relative to the lowest polymorph listed for this composition = 4 meV per atom
E_form = 1.13 kcal/mol of atoms
Calculated volume = 27.79 A^3/atom
M_tot = 0.002 μB per formula unit
E_tot = -5.85 eV/atom
SG = R3m (160)

Structure (POSCAR):
```
YTmSc2
1.0
1.720 0.993 10.847
-1.720 0.993 10.847
0.000 -1.986 10.847
Y Tm Sc
1 1 2
direct
0.000 0.000 0.000 Y
0.834 0.834 0.834 Tm
0.418 0.418 0.418 Sc
0.582 0.582 0.582 Sc
```

=====

Entry from the Alexandria database: an optimized crystal structure of MgSiSe (PBE).

Computed properties:
Energy relative to the lowest polymorph listed for this composition = 171 meV per atom
Energy relative to the elements, uncorrected = -0.481 eV per atom
Calculated volume = 31.73 A^3/atom
M_tot = 0.000 μB per formula unit
E_tot = -3.98 eV/atom
SG = R-3m (166)

Structure (POSCAR):
```
MgSiSe
1.0
2.064 1.192 12.904
-2.064 1.192 12.904
0.000 -2.383 12.904
Mg Si Se
2 2 2
direct
0.140 0.140 0.140 Mg
0.860 0.860 0.860 Mg
0.338 0.338 0.338 Si
0.662 0.662 0.662 Si
0.212 0.212 0.212 Se
0.788 0.788 0.788 Se
```